Entry 1:
Compound: LaPd9Au3
Source: Alexandria via LeMat-Bulk
Functional: PBE
Structure: optimized geometry

Summary:
- Crystal system: monoclinic
- ΔH_f (0 K): -0.25 eV/atom
- VASP energy: -4.9797 eV/atom

Cell and atoms, written as extended XYZ:
```
13
Lattice="-1.2065 -0.7333 5.2239 -2.9879 -6.2901 1.2777 5.3315 -2.9819 3.6156" Properties=species:S:1:pos:R:3 pbc="T T T"
Au 2.0625 -1.8576 4.4198
Au -2.0972 -3.5117 3.2508
Au 2.6657 -1.4910 1.8078
Pd 0.1588 -2.2174 2.5120
Pd 0.9782 -7.7879 7.6052
Pd 1.1143 -6.2650 5.0031
Pd -1.2762 -5.8441 7.3128
Pd 0.0227 -3.7403 5.1141
Pd -1.8005 -5.9309 4.4213
Pd 2.9375 -4.0744 5.6959
Pd -1.4940 -3.1451 0.6388
Pd 2.4132 -4.1612 2.8044
La 0.0000 0.0000 0.0000
```

***

Entry 2:
Compound: Na4Zr3USe8
Source: Alexandria via LeMat-Bulk
Functional: PBE
Structure: optimized geometry

Summary:
- Crystal system: trigonal
- VASP energy: -5.6514 eV/atom
- Formation energy without anion corrections: -1.271 eV/atom

Cell and atoms, written as extended XYZ:
```
16
Lattice="-0.5913 4.0208 -6.6481 -4.3005 -6.4340 -3.5094 -2.8141 2.9874 6.6236" Properties=species:S:1:pos:R:3 pbc="T T T"
Na 0.0000 0.0000 0.0000
Na -1.7027 3.5041 -0.0122
Na -1.4071 1.4937 3.3118
Na -0.2956 2.0104 -3.3240
Se -4.6844 -2.2170 -0.9245
Se -1.3681 -0.6115 -2.5975
Se -6.0507 -0.7665 2.2914
Se -2.7871 0.8138 0.7401
Se -3.0215 2.7912 -2.6093
Se -4.9188 -0.2396 -4.2739
Se -1.6552 1.3407 -5.8253
Se -6.3378 1.1856 -0.9363
Zr -3.5573 -1.7233 1.5571
Zr -3.8529 0.2871 -1.7669
Zr -2.4459 -1.2066 -5.0787
U -2.1502 -3.2170 -1.7547
```

***

Entry 3:
Compound: SrZrScBi2
Source: Alexandria via LeMat-Bulk
Functional: PBE
Structure: optimized geometry

Summary:
- Crystal system: tetragonal
- ΔH_f (0 K): 0.63 eV/atom
- VASP energy: -4.2327 eV/atom

Cell and atoms, written as extended XYZ:
```
5
Lattice="-4.2675 -3.5477 0.6103 3.5251 -4.3744 -0.7797 0.9584 -0.2074 5.4962" Properties=species:S:1:pos:R:3 pbc="T T T"
Bi 0.4792 -0.1037 2.7481
Bi -2.1337 -1.7738 0.3051
Sc 0.0000 0.0000 0.0000
Sr 1.7626 -2.1872 -0.3898
Zr 0.1080 -4.0647 2.6634
```

***

Entry 4:
Compound: CsLa2Sc
Source: Alexandria via LeMat-Bulk
Functional: PBE
Structure: optimized geometry

Summary:
- Crystal system: tetragonal
- ΔH_f (0 K): 0.78 eV/atom
- VASP energy: -3.4815 eV/atom

Cell and atoms, written as extended XYZ:
```
8
Lattice="-3.0054 -2.5635 8.2955 4.3669 -8.0336 -0.9004 3.5925 -3.8830 5.1899" Properties=species:S:1:pos:R:3 pbc="T T T"
La 3.2237 -6.9207 6.6617
La 3.2388 -6.3232 1.8074
La 3.8669 -12.1501 10.3670
La -0.4215 -3.5661 6.3339
Sc 0.6808 -5.2985 3.6976
Sc 4.3201 -8.6076 3.9935
Cs 0.0000 0.0000 0.0000
Cs 0.6339 -5.8725 8.5915
```

***

Entry 5:
Compound: NaS2O
Source: Alexandria via LeMat-Bulk
Functional: PBE
Structure: optimized geometry

Summary:
- Crystal system: tetragonal
- VASP energy: -3.7899 eV/atom
- Formation energy without anion corrections: -0.157 eV/atom

Cell and atoms, written as extended XYZ:
```
8
Lattice="-3.0560 -1.3474 4.0717 4.1987 0.0798 3.1777 -0.4049 5.0476 4.7720" Properties=species:S:1:pos:R:3 pbc="T T T"
Na 0.0000 0.0000 0.0000
Na -1.4447 1.5332 6.2342
S 1.1752 3.3303 7.0924
S -0.7219 0.7668 3.1166
S 1.3766 0.8063 4.7065
S -0.3540 2.6566 9.1274
O 0.5714 -0.6338 3.6247
O 2.1826 2.2468 5.7872
```

***

Entry 6:
Compound: ReC
Source: Alexandria via LeMat-Bulk
Functional: PBE
Structure: optimized geometry

Summary:
- Crystal system: hexagonal
- ΔH_f (0 K): 0.63 eV/atom
- VASP energy: -10.2087 eV/atom
- Polymorph energy (0 for the lowest one): 0.77 eV/f.u.

Cell and atoms, written as extended XYZ:
```
12
Lattice="7.4830 0.0000 0.0000 -3.7415 6.4804 0.0000 0.0000 0.0000 3.5259" Properties=species:S:1:pos:R:3 pbc="T T T"
Re -2.2467 4.2169 2.6444
Re 2.7077 0.1627 0.8815
Re 5.9882 2.2635 0.8815
Re 1.0338 6.3177 2.6444
Re 1.2129 2.4263 2.6444
Re 2.5286 4.0542 0.8815
C 4.4405 3.6348 0.8815
C -0.9276 5.6630 2.6444
C 2.1149 2.0282 0.8815
C 1.6266 4.4522 2.6444
C -0.6990 2.8456 2.6444
C 4.6691 0.8174 0.8815
```